DFT (GGA+U) results for a geometry-optimized LaMnO3 structure.

a b c (Å): 9.637 5.644 5.583
angles (deg): 90.00 124.67 90.00
Space group C2/c (No. 15)
Unique sites:
La: 0.000 0.240 0.250 [4 per cell]
Mn: 0.250 0.250 0.000 [4 per cell]
O: 0.000 0.337 0.750 [4 per cell]
O: 0.201 0.000 0.191 [8 per cell]

Summary:
Size of the total moment ... 4.0 μB/f.u.
E ... -8.037 eV/atom